# Si2Os3C12Cl6O12 | OQMD | PBE-GGA | optimized geometry
# - Electronic total energy: -7.230 eV/atom
# - Crystal system: triclinic
# - ρ: 2.948 g/cm3
# - Space-group type: P-1
# - Volume: 662.27 Å³ per cell
data_Si2Os3C12Cl6O12
_chemical_formula_sum 'Si2 Os3 C12 Cl6 O12'
_cell_length_a 8.1916
_cell_length_b 8.3159
_cell_length_c 11.3010
_cell_angle_alpha 80.36
_cell_angle_beta 69.97
_cell_angle_gamma 66.38
_symmetry_space_group_name_H-M 'P 1'
_symmetry_Int_Tables_number 1
_symmetry_space_group_name_Hall 'P 1'
loop_
_atom_site_label
_atom_site_fract_x
_atom_site_fract_y
_atom_site_fract_z
C1 0.6082 0.0999 0.1744
C2 0.2989 0.0002 0.2750
C3 0.4196 0.3880 0.3249
C4 0.6284 0.7901 0.4005
C5 0.1118 0.2886 0.4192
C6 0.7209 0.0610 0.4328
C7 0.2791 0.9390 0.5672
C8 0.8882 0.7114 0.5808
C9 0.3716 0.2099 0.5995
C10 0.5804 0.6120 0.6751
C11 0.7011 0.9998 0.7250
C12 0.3918 0.9001 0.8256
Cl1 0.5988 0.6813 0.0476
Cl2 0.9927 0.3179 0.1359
Cl3 0.1299 0.6357 0.1523
Cl4 0.8701 0.3643 0.8477
Cl5 0.0073 0.6821 0.8641
Cl6 0.4012 0.3187 0.9524
O1 0.7555 0.0434 0.1032
O2 0.2595 0.8847 0.2670
O3 0.7042 0.6641 0.3426
O4 0.4563 0.4992 0.3447
O5 0.8534 0.0965 0.3946
O6 0.9658 0.3400 0.4934
O7 0.0342 0.6600 0.5066
O8 0.1466 0.9035 0.6054
O9 0.5437 0.5008 0.6553
O10 0.2958 0.3359 0.6574
O11 0.7405 0.1153 0.7330
O12 0.2445 0.9566 0.8967
Os1 0.3573 0.1981 0.2948
Os2 0.5000 0.0000 0.5000
Os3 0.6427 0.8019 0.7052
Si1 0.2217 0.3674 0.1344
Si2 0.7783 0.6326 0.8656